Here is a geometry-optimized PmYTm2Te6 structure from Alexandria. Energies are from PBE.

a = 7.7099 Å, b = 7.7099 Å, c = 21.0177 Å
α = 90.00°, β = 90.00°, γ = 120.00°
With the nearest neighbours (Å) after each atom.
Space group R3 (No. 146, hexagonal axes)
Unique sites:
Pm 0.0000 0.0000 0.0000 [3 per cell]  6 Te 3.13-3.19
Y 0.0000 0.0000 0.4978 [3 per cell]  6 Te 3.08-3.11
Tm 0.0000 0.0000 0.3112 [3 per cell]  6 Te 3.04-3.07
Tm 0.0000 0.0000 0.8127 [3 per cell]  6 Te 3.03-3.07
Te 0.0089 0.3200 0.9021 [9 per cell]  2 Tm 3.04-3.07, 1 Y 3.08, 1 Pm 3.19
Te 0.0152 0.6495 0.0697 [9 per cell]  2 Tm 3.03-3.07, 1 Y 3.11, 1 Pm 3.13

Values from the calculation:
The value obtained for the formation energy without anion corrections is -13.5 eV per formula unit. The value obtained for the total moment is 0.000 μB/f.u.

Here is a geometry-optimized La4DyY structure from Alexandria. Energies are from PBE.

a = 3.5639 Å, b = 5.8598 Å, c = 10.0560 Å
α = 90.00°, β = 90.00°, γ = 90.00°
With the nearest neighbours (Å) after each atom.
Space group Pmmm (No. 47)
Unique sites:
La 0.0000 0.0000 0.1708 [2 per cell]  5 La 3.33-3.56
La 0.0000 0.5000 0.3273 [2 per cell]  5 La 3.33-3.56
Dy 0.5000 0.5000 0.0000 [1 per cell]  2 Dy 3.56, 12 La 3.74-3.84
Y 0.5000 0.0000 0.5000 [1 per cell]  2 Y 3.56, 12 La 3.76-3.84

Values from the calculation:
As for the offset from the most stable computed form: 0.0 meV per atom. As for the formation enthalpy at 0 K: 34 kJ/mol of formula units. The value obtained for the total moment is 0.000 μB/f.u.

Here is a geometry-optimized CaZnW2 structure from Alexandria. Energies are from PBE.

a = 3.8580 Å, b = 3.8580 Å, c = 20.7753 Å
α = 90.00°, β = 90.00°, γ = 90.00°
With the nearest neighbours (Å) after each atom.
Space group I-42d (No. 122)
Unique sites:
Ca 0.0000 0.0000 0.0000 [4 per cell]  4 Zn 2.73, 4 W 2.94
Zn 0.0000 0.0000 0.5000 [4 per cell]  4 Ca 2.73, 4 W 2.92
W 0.2421 0.2500 0.6250 [8 per cell]  4 W 2.69-2.77, 2 Zn 2.92, 2 Ca 2.94

Values from the calculation:
As for the formation enthalpy at 0 K: 368 kJ/mol of formula units. The value obtained for the total moment is 0.000 μB/f.u.

Here is a geometry-optimized Sr2Br3 structure from Alexandria. Energies are from PBE.

a = 4.7191 Å, b = 4.7191 Å, c = 9.7439 Å
α = 90.00°, β = 90.00°, γ = 120.00°
With the nearest neighbours (Å) after each atom.
Space group P-3m1 (No. 164)
Unique sites:
Sr 0.3333 0.6667 0.3153 [2 per cell]  6 Br 3.09-3.27
Br 0.0000 0.0000 0.5000 [1 per cell]  6 Sr 3.27
Br 0.3333 0.6667 0.8349 [2 per cell]  3 Sr 3.09

Values from the calculation:
The value obtained for the formation energy without anion corrections is -8.8 eV per formula unit. The value obtained for the total moment is 0.590 μB/f.u.

Here is a geometry-optimized ReMoAs2 structure from Alexandria. Energies are from PBE.

a = 2.9769 Å, b = 2.9769 Å, c = 7.9740 Å
α = 90.00°, β = 90.00°, γ = 90.00°
With the nearest neighbours (Å) after each atom.
Space group P4mm (No. 99)
Unique sites:
Re 0.0000 0.0000 0.0000 [1 per cell]  4 As 2.62, 4 Mo 2.74
Mo 0.5000 0.5000 0.7803 [1 per cell]  4 As 2.74, 4 Re 2.74, 4 Mo 2.98
As 0.0000 0.0000 0.5609 [1 per cell]  4 Mo 2.74, 4 As 2.98
As 0.5000 0.5000 0.1965 [1 per cell]  4 Re 2.62

Values from the calculation:
As for the offset from the most stable computed form: 5.5 meV per atom. As for the formation enthalpy at 0 K: 19 kJ/mol of formula units. The value obtained for the total moment is 0.000 μB/f.u.

Here is a geometry-optimized LiBeP2 structure from Alexandria. Energies are from PBE.

a = 3.4083 Å, b = 3.6384 Å, c = 9.4294 Å
α = 90.00°, β = 90.00°, γ = 90.00°
With the nearest neighbours (Å) after each atom.
Space group Cmm2 (No. 35)
Unique sites:
Li 0.0000 0.0000 0.0000 [2 per cell]  4 Li 2.49, 4 P 2.62-2.69, 4 Be 2.69-2.77
Be 0.0000 0.5000 0.7788 [2 per cell]  4 P 2.31-2.39, 4 Be 2.49
P 0.0000 0.0000 0.6141 [2 per cell]  4 Be 2.31-2.39, 4 P 2.49
P 0.0000 0.5000 0.2104 [2 per cell]  4 P 2.49, 4 Li 2.62-2.69

Values from the calculation:
As for the formation enthalpy at 0 K: 76 kJ/mol of formula units. The value obtained for the total moment is 0.000 μB/f.u.

Here is a geometry-optimized Ba2PrPuS6 structure from Alexandria. Energies are from PBE.

a = 7.2736 Å, b = 7.6024 Å, c = 12.7193 Å
α = 90.00°, β = 124.64°, γ = 90.00°
With the nearest neighbours (Å) after each atom.
Space group P2_1/c (No. 14)
Unique sites:
Ba 0.2313 0.0649 0.2500 [4 per cell]  6 S 3.18-3.43
Pr 0.5000 0.0000 0.0000 [2 per cell]  6 S 2.81-2.84
Pu 0.0000 0.0000 0.5000 [2 per cell]  6 S 2.60-2.64
S 0.1389 0.2127 0.9494 [4 per cell]  1 Pu 2.64, 1 Pr 2.83
S 0.2406 0.6930 0.9520 [4 per cell]  1 Pu 2.61, 1 Pr 2.84
S 0.3321 0.0261 0.7394 [4 per cell]  1 Pu 2.60, 1 Pr 2.81

Values from the calculation:
The value obtained for the formation energy without anion corrections is -17.5 eV per formula unit. The value obtained for the total moment is 3.000 μB/f.u.

Here is a geometry-optimized Zr2ZnP structure from Alexandria. Energies are from PBE.

a = 3.2523 Å, b = 3.5550 Å, c = 6.4150 Å
α = 90.00°, β = 99.01°, γ = 90.00°
With the nearest neighbours (Å) after each atom.
Space group P2/m (No. 10)
Unique sites:
Zr 0.0627 0.0000 0.2637 [2 per cell]  2 P 2.61, 2 Zn 2.90
Zn 0.5000 0.5000 0.0000 [1 per cell]  8 Zr 2.90-2.97, 2 P 3.21
P 0.5000 0.5000 0.5000 [1 per cell]  4 Zr 2.61

Values from the calculation:
As for the formation enthalpy at 0 K: -234 kJ/mol of formula units. The value obtained for the total moment is 0.000 μB/f.u.